The following is a PBE calculation of crystalline TlNF2 at its relaxed geometry, from Alexandria.

Cell lengths 3.984, 3.984, 19.795 Å; angles 90.00, 90.00, 120.00 degrees
Fractional positions:
Tl 0.000 0.000 0.000
Tl 0.333 0.667 0.667
Tl 0.667 0.333 0.333
N 0.000 0.000 0.500
N 0.333 0.667 0.167
N 0.667 0.333 0.833
F 0.000 0.000 0.411
F 0.000 0.000 0.589
F 0.333 0.667 0.078
F 0.333 0.667 0.255
F 0.667 0.333 0.745
F 0.667 0.333 0.922

Its density of states at the Fermi level is 0.0000 states/eV per atom. The offset from the most stable computed form is 0 meV/atom. The uncorrected formation energy is -0.05 eV/atom.